Entry 1:
An optimized crystal structure of CsTcPt, computed with PBE.

CIF file:
```
data_CsTcPt
_chemical_formula_sum 'Cs4 Tc4 Pt4'
_cell_length_a 7.375
_cell_length_b 4.265
_cell_length_c 12.945
_cell_angle_alpha 90.00
_cell_angle_beta 101.27
_cell_angle_gamma 90.00
_symmetry_space_group_name_H-M 'C 1 2/m 1'
_symmetry_Int_Tables_number 12
loop_
_symmetry_equiv_pos_as_xyz
'x,y,z'
'-x,-y,-z'
'-x,y,-z'
'x,-y,z'
'x+1/2,y+1/2,z'
'-x+1/2,-y+1/2,-z'
'-x+1/2,y+1/2,-z'
'x+1/2,-y+1/2,z'
loop_
_atom_site_label
_atom_site_fract_x
_atom_site_fract_y
_atom_site_fract_z
Cs1 0.233 0.000 0.205
Tc1 0.166 0.500 0.499
Pt1 0.037 0.000 0.607
```

Output
Magnetic moment = 0.000 μB/f.u.
D(E_F) = 0.121 states/eV/atom
Calculated density = 7.09 Mg/m³
Excess energy over the best structure of this formula in the dataset = 0 meV per atom

=====

Entry 2:
An optimized crystal structure of CsTcPt2, computed with PBE.

CIF file:
```
data_CsTcPt2
_chemical_formula_sum 'Cs4 Tc4 Pt8'
_cell_length_a 7.002
_cell_length_b 7.002
_cell_length_c 7.002
_cell_angle_alpha 90.00
_cell_angle_beta 90.00
_cell_angle_gamma 90.00
_symmetry_space_group_name_H-M 'F m -3 m'
_symmetry_Int_Tables_number 225
_symmetry_space_group_name_Hall '-F 4 2 3'
loop_
_atom_site_label
_atom_site_fract_x
_atom_site_fract_y
_atom_site_fract_z
Cs1 0.000 0.000 0.000
Tc1 0.000 0.000 0.500
Pt1 0.250 0.250 0.250
```

Output
Magnetic moment = 3.759 μB/f.u.
D(E_F) = 0.266 states/eV/atom
Uncorrected energy = -4.6489 eV/atom
Calculated density = 12.01 Mg/m³

=====

Entry 3:
An optimized crystal structure of CsTcPt, computed with PBE.

CIF file:
```
data_CsTcPt
_chemical_formula_sum 'Cs4 Tc4 Pt4'
_cell_length_a 7.573
_cell_length_b 4.632
_cell_length_c 8.988
_cell_angle_alpha 90.00
_cell_angle_beta 90.00
_cell_angle_gamma 90.00
_symmetry_space_group_name_H-M 'P n m a'
_symmetry_Int_Tables_number 62
loop_
_symmetry_equiv_pos_as_xyz
'x,y,z'
'-x,-y,-z'
'-x+1/2,-y,z+1/2'
'x+1/2,y,-z+1/2'
'x+1/2,-y+1/2,-z+1/2'
'-x+1/2,y+1/2,z+1/2'
'-x,y+1/2,-z'
'x,-y+1/2,z'
loop_
_atom_site_label
_atom_site_fract_x
_atom_site_fract_y
_atom_site_fract_z
Cs1 0.054 0.250 0.133
Tc1 0.028 0.250 0.563
Pt1 0.239 0.250 0.789
```

Output
Magnetic moment = 0.000 μB/f.u.
D(E_F) = 0.076 states/eV/atom
Calculated density = 8.97 Mg/m³
Excess energy over the best structure of this formula in the dataset = 609 meV per atom

=====

Entry 4:
An optimized crystal structure of CsTcPt, computed with PBE.

CIF file:
```
data_CsTcPt
_chemical_formula_sum 'Cs4 Tc4 Pt4'
_cell_length_a 4.613
_cell_length_b 14.748
_cell_length_c 5.144
_cell_angle_alpha 90.00
_cell_angle_beta 90.00
_cell_angle_gamma 90.00
_symmetry_space_group_name_H-M 'C m c m'
_symmetry_Int_Tables_number 63
_symmetry_space_group_name_Hall '-C 2c 2'
loop_
_atom_site_label
_atom_site_fract_x
_atom_site_fract_y
_atom_site_fract_z
Cs1 0.000 0.198 0.250
Tc1 0.000 0.500 0.000
Pt1 0.000 0.024 0.750
```

Output
Magnetic moment = 0.610 μB/f.u.
D(E_F) = 1.083 states/eV/atom
Calculated density = 8.08 Mg/m³
Excess energy over the best structure of this formula in the dataset = 295 meV per atom

=====

Entry 5:
An optimized crystal structure of CsTcPt, computed with PBE.

CIF file:
```
data_CsTcPt
_chemical_formula_sum 'Cs4 Tc4 Pt4'
_cell_length_a 21.610
_cell_length_b 4.428
_cell_length_c 3.973
_cell_angle_alpha 90.00
_cell_angle_beta 99.68
_cell_angle_gamma 90.00
_symmetry_space_group_name_H-M 'C 1 m 1'
_symmetry_Int_Tables_number 8
loop_
_symmetry_equiv_pos_as_xyz
'x,y,z'
'x,-y,z'
'x+1/2,y+1/2,z'
'x+1/2,-y+1/2,z'
loop_
_atom_site_label
_atom_site_fract_x
_atom_site_fract_y
_atom_site_fract_z
Cs1 0.000 0.000 0.000
Cs2 0.182 0.500 0.692
Tc1 0.280 0.000 0.261
Tc2 0.341 0.000 0.849
Pt1 0.340 0.500 0.420
Pt2 0.423 0.000 0.417
```

Output
Magnetic moment = 0.000 μB/f.u.
D(E_F) = 1.677 states/eV/atom
Calculated density = 7.55 Mg/m³
Excess energy over the best structure of this formula in the dataset = 364 meV per atom

=====

Entry 6:
An optimized crystal structure of CsZnTc2Pt, computed with PBE.

CIF file:
```
data_CsZnTc2Pt
_chemical_formula_sum 'Cs1 Zn1 Tc2 Pt1'
_cell_length_a 4.833
_cell_length_b 4.833
_cell_length_c 5.787
_cell_angle_alpha 90.00
_cell_angle_beta 90.00
_cell_angle_gamma 90.00
_symmetry_space_group_name_H-M 'P 4/m m m'
_symmetry_Int_Tables_number 123
_symmetry_space_group_name_Hall '-P 4 2'
loop_
_atom_site_label
_atom_site_fract_x
_atom_site_fract_y
_atom_site_fract_z
Cs1 0.000 0.000 0.000
Zn1 0.000 0.000 0.500
Tc1 0.000 0.500 0.500
Pt1 0.500 0.500 0.000
```

Output
Magnetic moment = 6.551 μB/f.u.
D(E_F) = 0.877 states/eV/atom
Uncorrected energy = -3.8740 eV/atom
Calculated density = 7.24 Mg/m³